#P
The following is a DFT calculation (PBE) of crystalline Dy2MgPd at its relaxed geometry.

Calculated values
crystal system	cubic
symmetry	Fm-3m

Structure (POSCAR):
```
Dy2MgPd
1.0
0.0000 3.6276 3.6276
3.6276 0.0000 3.6276
3.6276 3.6276 0.0000
Dy Mg Pd
2 1 1
Direct
0.2500 0.2500 0.2500
0.7500 0.7500 0.7500
0.0000 0.0000 0.0000
0.5000 0.5000 0.5000
```



#Q
The following is a DFT calculation (PBE) of crystalline Dy2MgPd at its relaxed geometry.

Calculated values
crystal system	tetragonal
symmetry	P4/mmm

Structure (POSCAR):
```
Dy2MgPd
1.0
3.6321 0.0000 0.0000
0.0000 3.6321 0.0000
0.0000 0.0000 7.3480
Dy Mg Pd
2 1 1
Direct
0.0000 0.0000 0.2236
0.0000 0.0000 0.7764
0.5000 0.5000 0.5000
0.5000 0.5000 0.0000
```



The computed energies, referenced to the most stable structure and given in meV per atom, are #P 80; #Q 0.